SrTaAg: relaxed, PBE.

## Properties
Space-group type   No. 194
E_tot   -4.472 eV per atom
Theoretical density   8.5 Mg/m³
Density of states at the Fermi level   0.85 states/eV/atom
Formation energy from the elements   0.990 eV per atom

a b c (Å): 4.973 4.973 6.834
angles (deg): 90.00 90.00 120.00
Sites, in units of the cell vectors:
Sr: 0.000 0.000 0.000
Sr: 0.000 0.000 0.500
Ta: 0.333 0.667 0.250
Ta: 0.667 0.333 0.750
Ag: 0.333 0.667 0.750
Ag: 0.667 0.333 0.250